(1)
Be2Zn: relaxed, PBEsol.

```
data_Be2Zn
_symmetry_space_group_name_H-M 'P 63/m m c'
_symmetry_Int_Tables_number 194
_symmetry_space_group_name_Hall '-P 6c 2c'
_cell_length_a 4.3455
_cell_length_b 4.3455
_cell_length_c 14.2411
_cell_angle_alpha 90.00
_cell_angle_beta 90.00
_cell_angle_gamma 120.00
loop_
_atom_site_label
_atom_site_fract_x
_atom_site_fract_y
_atom_site_fract_z
_atom_site_occupancy
Be1 0.0000 0.5000 0.0000 1
Be2 0.1685 0.3370 0.2500 1
Be3 0.3333 0.6667 0.1232 1
Zn1 0.0000 0.0000 0.0949 1
Zn2 0.3333 0.6667 0.6566 1
```

## Properties
* calculated volume: 233 Å³/cell
* D(E_F): 0.26 states/eV/f.u.
* crystal system: hexagonal
* calculated formation energy: 50 meV/atom

(2)
BeZn5: relaxed, PBEsol.

```
data_BeZn5
_symmetry_space_group_name_H-M 'C 1 m 1'
_symmetry_Int_Tables_number 8
_cell_length_a 10.6823
_cell_length_b 2.5289
_cell_length_c 6.4751
_cell_angle_alpha 90.00
_cell_angle_beta 113.58
_cell_angle_gamma 90.00
loop_
_symmetry_equiv_pos_as_xyz
'x,y,z'
'x,-y,z'
'x+1/2,y+1/2,z'
'x+1/2,-y+1/2,z'
loop_
_atom_site_label
_atom_site_fract_x
_atom_site_fract_y
_atom_site_fract_z
_atom_site_occupancy
Be1 0.0000 0.0000 0.0000 1
Zn1 0.0205 0.0000 0.6053 1
Zn2 0.1654 0.5000 0.3312 1
Zn3 0.1934 0.5000 0.9439 1
Zn4 0.3196 0.0000 0.6970 1
Zn5 0.3976 0.0000 0.2347 1
```

## Properties
* calculated volume: 160 Å³/cell
* D(E_F): 1.11 states/eV/f.u.
* crystal system: monoclinic
* calculated formation energy: 77 meV/atom

(3)
Be2Zn3: relaxed, PBEsol.

```
data_Be2Zn3
_symmetry_space_group_name_H-M 'P -3 m 1'
_symmetry_Int_Tables_number 164
_symmetry_space_group_name_Hall '-P 3 2"'
_cell_length_a 3.8787
_cell_length_b 3.8787
_cell_length_c 4.6566
_cell_angle_alpha 90.00
_cell_angle_beta 90.00
_cell_angle_gamma 120.00
loop_
_atom_site_label
_atom_site_fract_x
_atom_site_fract_y
_atom_site_fract_z
_atom_site_occupancy
Be1 0.3333 0.6667 0.3732 1
Zn1 0.0000 0.0000 0.5000 1
Zn2 0.3333 0.6667 0.8663 1
```

## Properties
* calculated volume: 61 Å³/cell
* D(E_F): 0.61 states/eV/f.u.
* crystal system: trigonal
* calculated formation energy: 71 meV/atom